Entry 1:
VASP calculation (GGA-PBE) on a relaxed structure of CeTh2Pb3.

```
CeTh2Pb3
1.0
-3.5282 2.1855 -1.9237
-4.1220 -3.7650 3.2828
3.8093 5.3160 4.4916
Th Pb Ce
2 3 1
direct
0.3328 0.8328 0.6655 Th
0.6672 0.1672 0.3345 Th
0.0000 0.0000 0.0000 Pb
0.6641 0.6641 0.3281 Pb
0.3359 0.3359 0.6719 Pb
0.0000 0.5000 0.0000 Ce
```

## Properties
E_form   -272 meV/atom
Density   10.00 g cm⁻³



Entry 2:
VASP calculation (GGA-PBE) on a relaxed structure of CeTh2Pb.

```
CeTh2Pb
1.0
-3.6569 0.9104 -1.8176
-2.0242 -1.9757 3.0829
-0.3133 5.9735 3.6223
Th Pb Ce
2 1 1
direct
0.0000 0.0000 0.2404 Th
0.0000 0.0000 0.7596 Th
0.5000 0.5000 0.0000 Pb
0.5000 0.5000 0.5000 Ce
```

## Properties
E above lowest polymorph   0.116 eV/atom
E_form   -72 meV/atom
Density   11.01 g cm⁻³



Entry 3:
VASP calculation (GGA-PBE) on a relaxed structure of CeTh2Pb9.

```
CeTh2Pb9
1.0
-0.9217 1.6991 -4.5149
1.4870 -4.2727 -1.9115
-13.7749 -5.1800 0.8626
Pb Th Ce
9 2 1
direct
0.5000 0.0000 0.1657 Pb
0.5000 0.5000 0.0000 Pb
0.0000 0.5000 0.5000 Pb
0.5000 0.0000 0.8343 Pb
0.0000 0.5000 0.8343 Pb
0.5000 0.5000 0.3326 Pb
0.0000 0.5000 0.1657 Pb
0.5000 0.0000 0.5000 Pb
0.5000 0.5000 0.6674 Pb
0.0000 0.0000 0.6668 Th
0.0000 0.0000 0.3332 Th
0.0000 0.0000 0.0000 Ce
```

## Properties
E_form   -272 meV/atom
Density   11.53 g cm⁻³



Entry 4:
VASP calculation (GGA-PBE) on a relaxed structure of CeTh2Pb.

```
CeTh2Pb
1.0
-0.2873 1.3010 -4.7318
-3.9762 -2.8764 -0.5494
-2.9141 3.7953 1.2204
Pb Th Ce
1 2 1
direct
0.5000 0.5000 0.5000 Pb
0.0000 0.0000 0.5000 Th
0.0000 0.5000 0.0000 Th
0.5000 0.0000 0.0000 Ce
```

## Properties
E above lowest polymorph   0.000 eV/atom
E_form   -188 meV/atom
Density   11.24 g cm⁻³